[1]
Here is crystalline UAg3F8 at its relaxed geometry from Alexandria. Energies are from GGA-PBE.

Computed properties:
Uncorrected energy, eV per atom: -5.112
Formation energy (no corrections), eV per atom: -2.211
Space-group type: C222, No. 21

a = 6.1041 Å, b = 6.1041 Å, c = 8.1128 Å
α = 90.00°, β = 90.00°, γ = 117.42°
With the nearest neighbours (Å) after each atom.
Sites, in units of the cell vectors:
1 F 0.2993 0.7007 0.5000  1 U 2.09
2 F 0.7007 0.2993 0.5000  1 U 2.09
3 F 0.2956 0.7044 0.0000  3 Ag 2.13-2.31
4 U 0.5000 0.5000 0.5000  6 F 2.09-2.10
5 F 0.7181 0.7433 0.6844  1 U 2.10
6 Ag 0.5000 0.0000 0.8009  2 F 2.31
7 F 0.2567 0.2819 0.3156  1 U 2.10
8 Ag 0.5000 0.5000 0.0000  2 F 2.13
9 F 0.2819 0.2567 0.6844  1 U 2.10
10 F 0.7433 0.7181 0.3156  1 U 2.10
11 Ag 0.0000 0.5000 0.1991  2 F 2.31
12 F 0.7044 0.2956 0.0000  3 Ag 2.13-2.31


[2]
Here is crystalline TcRh2Se at its relaxed geometry from Alexandria. Energies are from GGA-PBE.

Computed properties:
Uncorrected energy, eV per atom: -6.985
Formation energy (no corrections), eV per atom: 0.153
Space-group type: R3m, No. 160

a = 8.4871 Å, b = 8.4871 Å, c = 8.4871 Å
α = 19.56°, β = 19.56°, γ = 19.56°
With the nearest neighbours (Å) after each atom.
Sites, in units of the cell vectors:
1 Rh 0.0025 0.0025 0.0025  3 Tc 2.67, 9 Rh 2.79-2.88
2 Se 0.4985 0.4985 0.4985  3 Tc 2.58, 3 Rh 2.62, 6 Se 2.88
3 Tc 0.7528 0.7528 0.7528  3 Se 2.58, 3 Rh 2.67, 6 Tc 2.88
4 Rh 0.2462 0.2462 0.2462  3 Se 2.62, 9 Rh 2.79-2.88